! PmHo2Au2 PBE relaxed; values from VASP
&SYSTEM
  ibrav = 0, nat = 10, ntyp = 3
/
ATOMIC_SPECIES
Pm 145.00 Pm.upf
Ho 164.93 Ho.upf
Au 196.97 Au.upf
CELL_PARAMETERS angstrom
8.2227 0.0000 0.0000
0.0000 8.2227 0.0000
0.0000 0.0000 3.7949
ATOMIC_POSITIONS crystal
Pm 0.0000 0.0000 0.0000
Pm 0.5000 0.5000 0.0000
Ho 0.1616 0.3384 0.5000
Ho 0.3384 0.8384 0.5000
Ho 0.6616 0.1616 0.5000
Ho 0.8384 0.6616 0.5000
Au 0.1312 0.6312 0.0000
Au 0.3688 0.1312 0.0000
Au 0.6312 0.8688 0.0000
Au 0.8688 0.3688 0.0000
! Space-group type   P4/mbm (127)
! DOS(E_F)   1.111 states/eV/atom
! Offset from the most stable computed form   0 meV/atom

! PmHo3Au4 PBE relaxed; values from VASP
&SYSTEM
  ibrav = 0, nat = 8, ntyp = 3
/
ATOMIC_SPECIES
Pm 145.00 Pm.upf
Ho 164.93 Ho.upf
Au 196.97 Au.upf
CELL_PARAMETERS angstrom
2.5481 1.4711 8.3974
-2.5481 1.4711 8.3974
0.0000 -2.9422 8.3974
ATOMIC_POSITIONS crystal
Pm 0.0000 0.0000 0.0000
Ho 0.2491 0.2491 0.2491
Ho 0.5000 0.5000 0.5000
Ho 0.7509 0.7509 0.7509
Au 0.1275 0.1275 0.1275
Au 0.3791 0.3791 0.3791
Au 0.6209 0.6209 0.6209
Au 0.8725 0.8725 0.8725
! Space-group type   R-3m (166)
! DOS(E_F)   0.463 states/eV/atom
! Electronic total energy   -38.4 eV per cell